[1]
{"formula": "VRePd6", "functional": "GGA-PBE", "state": "optimized geometry", "crystal_system": "orthorhombic", "e_tot_ev_per_cell": -52.9, "lattice_angstrom": [[4.452, 0.000, 0.000], [0.000, 5.061, -2.152], [0.000, -0.623, 5.562]], "species": ["Pd", "Pd", "Pd", "Pd", "Pd", "Pd", "Re", "V"], "frac_coords": [[0.000, 0.332, 0.664], [0.500, 0.168, 0.335], [0.500, 0.161, 0.831], [0.500, 0.670, 0.831], [0.000, 0.338, 0.166], [0.000, 0.828, 0.166], [0.000, 0.834, 0.668], [0.500, 0.670, 0.339]]}

=====

[2]
{"formula": "V2RePd", "functional": "GGA-PBE", "state": "optimized geometry", "crystal_system": "tetragonal", "e_tot_ev_per_cell": -36.3, "lattice_angstrom": [[-1.448, -2.749, 0.717], [3.012, -0.842, 2.856], [-2.272, 1.974, 2.979]], "species": ["Pd", "V", "V", "Re"], "frac_coords": [[0.500, 0.000, 0.000], [0.000, 0.500, 0.000], [0.000, 0.000, 0.500], [0.500, 0.500, 0.500]]}

=====

[3]
{"formula": "V2RePd", "functional": "GGA-PBE", "state": "optimized geometry", "crystal_system": "trigonal", "e_tot_ev_per_cell": -35.7, "lattice_angstrom": [[2.850, 0.000, 0.000], [1.425, 2.468, 0.000], [1.425, 0.823, 8.343]], "species": ["V", "V", "Pd", "Re"], "frac_coords": [[0.253, 0.253, 0.241], [0.747, 0.747, 0.759], [0.500, 0.500, 0.500], [0.000, 0.000, 0.000]]}

=====

[4]
{"formula": "RePdW2", "functional": "GGA-PBE", "state": "optimized geometry", "polymorph_energy_mev_per_atom": 234, "crystal_system": "cubic", "e_tot_ev_per_cell": -42.2, "lattice_angstrom": [[0.000, 3.160, 3.160], [3.160, 0.000, 3.160], [3.160, 3.160, 0.000]], "species": ["W", "W", "Re", "Pd"], "frac_coords": [[0.750, 0.750, 0.750], [0.250, 0.250, 0.250], [0.500, 0.500, 0.500], [0.000, 0.000, 0.000]]}

=====

[5]
{"formula": "RePdW2", "functional": "GGA-PBE", "state": "optimized geometry", "polymorph_energy_mev_per_atom": 0, "crystal_system": "tetragonal", "e_tot_ev_per_cell": -43.2, "lattice_angstrom": [[3.932, 0.000, 0.000], [0.000, 3.965, 0.000], [0.000, 0.000, 3.965]], "species": ["Re", "Pd", "W", "W"], "frac_coords": [[0.500, 0.500, 0.500], [0.500, 0.000, 0.000], [0.000, 0.000, 0.500], [0.000, 0.500, 0.000]]}

=====

[6]
{"formula": "Re3PdW", "functional": "GGA-PBE", "state": "optimized geometry", "crystal_system": "cubic", "e_tot_ev_per_cell": -44.1, "lattice_angstrom": [[-3.610, -1.628, 2.525], [-1.657, -2.214, -3.796], [2.506, -3.808, 1.128]], "species": ["Re", "Re", "Re", "Pd", "W"], "frac_coords": [[0.000, 0.000, 0.500], [0.000, 0.500, 0.000], [0.500, 0.000, 0.000], [0.500, 0.500, 0.500], [0.000, 0.000, 0.000]]}

=====

[7]
{"formula": "RePdW2", "functional": "GGA-PBE", "state": "optimized geometry", "polymorph_energy_mev_per_atom": 758, "crystal_system": "tetragonal", "e_tot_ev_per_cell": -80.3, "lattice_angstrom": [[-5.002, -1.049, -4.951], [-4.569, -2.058, 5.051], [-5.619, 1.024, 0.347]], "species": ["Pd", "Pd", "W", "W", "W", "W", "Re", "Re"], "frac_coords": [[0.500, 0.500, 0.000], [0.250, 0.750, 0.500], [0.875, 0.891, 0.750], [0.641, 0.125, 0.250], [0.375, 0.359, 0.750], [0.109, 0.625, 0.250], [0.000, 0.000, 0.000], [0.750, 0.250, 0.500]]}

=====

[8]
{"formula": "Y2RePd2", "functional": "GGA-PBE", "state": "optimized geometry", "crystal_system": "tetragonal", "e_tot_ev_per_cell": -73.9, "lattice_angstrom": [[-2.618, 6.106, 2.363], [-1.303, -2.980, 6.256], [3.806, 1.119, 1.326]], "species": ["Re", "Re", "Y", "Y", "Y", "Y", "Pd", "Pd", "Pd", "Pd"], "frac_coords": [[0.000, 0.000, 0.000], [0.500, 0.500, 0.000], [0.822, 0.322, 0.500], [0.678, 0.822, 0.500], [0.178, 0.678, 0.500], [0.322, 0.178, 0.500], [0.866, 0.634, 0.000], [0.366, 0.866, 0.000], [0.134, 0.366, 0.000], [0.634, 0.134, 0.000]]}

=====

[9]
{"formula": "YRePd3", "functional": "GGA-PBE", "state": "optimized geometry", "polymorph_energy_mev_per_atom": 0, "crystal_system": "cubic", "e_tot_ev_per_cell": -32.0, "lattice_angstrom": [[-2.639, 1.118, 3.889], [-1.240, -4.643, 0.493], [3.852, -0.729, 2.823]], "species": ["Re", "Y", "Pd", "Pd", "Pd"], "frac_coords": [[0.000, 0.000, 0.000], [0.500, 0.500, 0.500], [0.000, 0.500, 0.000], [0.500, 0.000, 0.000], [0.000, 0.000, 0.500]]}

=====

[10]
{"formula": "Y2RePd", "functional": "GGA-PBE", "state": "optimized geometry", "crystal_system": "tetragonal", "e_tot_ev_per_cell": -55.7, "lattice_angstrom": [[-0.479, -3.157, -3.131], [3.517, 1.658, -2.209], [7.179, -6.365, 2.126]], "species": ["Re", "Re", "Pd", "Pd", "Y", "Y", "Y", "Y"], "frac_coords": [[0.750, 0.250, 0.500], [0.000, 0.000, 0.000], [0.500, 0.500, 0.000], [0.250, 0.750, 0.500], [0.375, 0.371, 0.750], [0.875, 0.879, 0.750], [0.629, 0.125, 0.250], [0.121, 0.625, 0.250]]}

=====

[11]
{"formula": "Zn2RePd", "functional": "GGA-PBE", "state": "optimized geometry", "polymorph_energy_mev_per_atom": 54, "crystal_system": "cubic", "e_tot_ev_per_cell": -19.3, "lattice_angstrom": [[0.000, 3.072, 3.072], [3.072, 0.000, 3.072], [3.072, 3.072, 0.000]], "species": ["Zn", "Zn", "Re", "Pd"], "frac_coords": [[0.750, 0.750, 0.750], [0.250, 0.250, 0.250], [0.500, 0.500, 0.500], [0.000, 0.000, 0.000]]}

=====

[12]
{"formula": "Zn2RePd", "functional": "GGA-PBE", "state": "optimized geometry", "polymorph_energy_mev_per_atom": 406, "crystal_system": "tetragonal", "e_tot_ev_per_cell": -35.8, "lattice_angstrom": [[-6.743, 1.039, -0.719], [-1.018, -2.161, 6.431], [-3.587, 1.965, 3.751]], "species": ["Zn", "Zn", "Zn", "Zn", "Re", "Re", "Pd", "Pd"], "frac_coords": [[0.132, 0.625, 0.250], [0.618, 0.125, 0.250], [0.875, 0.868, 0.750], [0.375, 0.382, 0.750], [0.000, 0.000, 0.000], [0.750, 0.250, 0.500], [0.500, 0.500, 0.000], [0.250, 0.750, 0.500]]}

=====

[13]
{"formula": "Zn2RePd", "functional": "GGA-PBE", "state": "optimized geometry", "polymorph_energy_mev_per_atom": 0, "crystal_system": "trigonal", "e_tot_ev_per_cell": -19.5, "lattice_angstrom": [[2.730, 0.000, 0.000], [1.365, 2.364, 0.000], [1.365, 0.788, 9.582]], "species": ["Pd", "Re", "Zn", "Zn"], "frac_coords": [[0.500, 0.500, 0.500], [0.000, 0.000, 0.000], [0.092, 0.092, 0.724], [0.908, 0.908, 0.276]]}

=====

[14]
{"formula": "Zn3RePd", "functional": "GGA-PBE", "state": "optimized geometry", "polymorph_energy_mev_per_atom": 0, "crystal_system": "cubic", "e_tot_ev_per_cell": -16.0, "lattice_angstrom": [[-0.505, -1.876, -4.211], [0.463, -4.235, 1.831], [-4.586, -0.221, 0.648]], "species": ["Zn", "Zn", "Zn", "Re", "Pd"], "frac_coords": [[0.000, 0.000, 0.500], [0.500, 0.000, 0.000], [0.000, 0.500, 0.000], [0.500, 0.500, 0.500], [0.000, 0.000, 0.000]]}

=====

[15]
{"formula": "ZnRe3Pd", "functional": "GGA-PBE", "state": "optimized geometry", "crystal_system": "cubic", "e_tot_ev_per_cell": -33.5, "lattice_angstrom": [[-1.332, -4.113, 1.069], [3.544, -1.693, -2.100], [2.346, 0.223, 3.779]], "species": ["Zn", "Pd", "Re", "Re", "Re"], "frac_coords": [[0.000, 0.000, 0.000], [0.500, 0.500, 0.500], [0.000, 0.500, 0.000], [0.500, 0.000, 0.000], [0.000, 0.000, 0.500]]}

=====

[16]
{"formula": "ZrZnRePd2", "functional": "GGA-PBE", "state": "optimized geometry", "crystal_system": "tetragonal", "e_tot_ev_per_cell": -29.6, "lattice_angstrom": [[-1.953, 1.105, 3.877], [-4.208, -0.610, -1.946], [0.046, -4.302, 1.250]], "species": ["Re", "Zr", "Pd", "Pd", "Zn"], "frac_coords": [[0.000, 0.500, 0.000], [0.500, 0.500, 0.500], [0.000, 0.000, 0.500], [0.500, 0.000, 0.000], [0.000, 0.000, 0.000]]}

=====

[17]
{"formula": "ZrRe3Pd", "functional": "GGA-PBE", "state": "optimized geometry", "polymorph_energy_mev_per_atom": 561, "crystal_system": "cubic", "e_tot_ev_per_cell": -38.0, "lattice_angstrom": [[4.732, 0.000, 0.000], [0.000, 4.732, 0.000], [0.000, 0.000, 4.732]], "species": ["Zr", "Re", "Re", "Re", "Pd"], "frac_coords": [[0.000, 0.000, 0.000], [0.000, 0.500, 0.000], [0.000, 0.000, 0.500], [0.500, 0.000, 0.000], [0.500, 0.500, 0.500]]}

=====

[18]
{"formula": "ZrRe3Pd", "functional": "GGA-PBE", "state": "optimized geometry", "polymorph_energy_mev_per_atom": 0, "crystal_system": "cubic", "e_tot_ev_per_cell": -40.8, "lattice_angstrom": [[4.688, 0.000, 0.000], [0.000, 4.688, 0.000], [0.000, 0.000, 4.688]], "species": ["Zr", "Pd", "Re", "Re", "Re"], "frac_coords": [[0.500, 0.500, 0.500], [0.000, 0.000, 0.000], [0.000, 0.500, 0.000], [0.500, 0.000, 0.000], [0.000, 0.000, 0.500]]}

=====

[19]
{"formula": "Zr2RePd", "functional": "GGA-PBE", "state": "optimized geometry", "crystal_system": "tetragonal", "e_tot_ev_per_cell": -65.1, "lattice_angstrom": [[-3.715, -1.295, -1.514], [-1.419, -0.531, 3.934], [-5.603, 7.717, 1.280]], "species": ["Re", "Re", "Zr", "Zr", "Zr", "Zr", "Pd", "Pd"], "frac_coords": [[0.750, 0.250, 0.500], [0.000, 0.000, 0.000], [0.119, 0.625, 0.250], [0.875, 0.881, 0.750], [0.375, 0.369, 0.750], [0.631, 0.125, 0.250], [0.500, 0.500, 0.000], [0.250, 0.750, 0.500]]}

=====

[20]
{"formula": "Zr2RePd2", "functional": "GGA-PBE", "state": "optimized geometry", "crystal_system": "tetragonal", "e_tot_ev_per_cell": -81.5, "lattice_angstrom": [[7.483, 0.000, 0.000], [0.000, 7.483, 0.000], [0.000, 0.000, 3.253]], "species": ["Zr", "Zr", "Zr", "Zr", "Pd", "Pd", "Pd", "Pd", "Re", "Re"], "frac_coords": [[0.321, 0.179, 0.500], [0.821, 0.321, 0.500], [0.179, 0.679, 0.500], [0.679, 0.821, 0.500], [0.125, 0.375, 0.000], [0.625, 0.125, 0.000], [0.375, 0.875, 0.000], [0.875, 0.625, 0.000], [0.500, 0.500, 0.000], [0.000, 0.000, 0.000]]}

=====

[21]
{"formula": "ZrRePd2", "functional": "GGA-PBE", "state": "optimized geometry", "polymorph_energy_mev_per_atom": 0, "crystal_system": "cubic", "e_tot_ev_per_cell": -31.1, "lattice_angstrom": [[4.098, 0.662, 1.935], [1.229, 4.189, 1.383], [0.296, 0.940, 4.472]], "species": ["Zr", "Re", "Pd", "Pd"], "frac_coords": [[0.000, 0.000, 0.000], [0.500, 0.500, 0.500], [0.250, 0.250, 0.250], [0.750, 0.750, 0.750]]}

=====

[22]
{"formula": "Zr2RePd", "functional": "GGA-PBE", "state": "optimized geometry", "crystal_system": "tetragonal", "e_tot_ev_per_cell": -36.7, "lattice_angstrom": [[3.329, 0.000, 0.000], [0.000, 3.329, 0.000], [0.000, 0.000, 6.679]], "species": ["Pd", "Zr", "Zr", "Re"], "frac_coords": [[0.500, 0.500, 0.500], [0.000, 0.000, 0.239], [0.000, 0.000, 0.761], [0.500, 0.500, 0.000]]}

=====

[23]
{"formula": "Zr2RePd", "functional": "GGA-PBE", "state": "optimized geometry", "crystal_system": "orthorhombic", "e_tot_ev_per_cell": -32.9, "lattice_angstrom": [[-0.835, 5.930, 0.589], [-3.744, -4.520, 1.327], [2.062, -5.324, 1.898]], "species": ["Pd", "Zr", "Zr", "Re"], "frac_coords": [[0.000, 0.000, 0.000], [0.000, 0.249, 0.249], [0.000, 0.751, 0.751], [0.000, 0.500, 0.500]]}

=====

[24]
{"formula": "ZrRePd2", "functional": "GGA-PBE", "state": "optimized geometry", "polymorph_energy_mev_per_atom": 154, "crystal_system": "tetragonal", "e_tot_ev_per_cell": -61.0, "lattice_angstrom": [[3.921, 0.000, 0.000], [0.000, 3.921, 0.000], [1.960, 1.960, 9.376]], "species": ["Re", "Re", "Pd", "Pd", "Pd", "Pd", "Zr", "Zr"], "frac_coords": [[0.750, 0.250, 0.500], [0.000, 0.000, 0.000], [0.875, 0.886, 0.750], [0.375, 0.364, 0.750], [0.114, 0.625, 0.250], [0.636, 0.125, 0.250], [0.500, 0.500, 0.000], [0.250, 0.750, 0.500]]}

=====

[25]
{"formula": "Pd3Rh", "functional": "GGA-PBE", "state": "optimized geometry", "crystal_system": "orthorhombic", "e_tot_ev_per_cell": -22.5, "lattice_angstrom": [[2.758, 0.000, 0.000], [0.000, 4.565, 0.000], [0.000, 0.000, 4.830]], "species": ["Pd", "Pd", "Pd", "Rh"], "frac_coords": [[0.500, 0.000, 0.502], [0.000, 0.000, 0.007], [0.500, 0.500, 0.828], [0.000, 0.500, 0.330]]}

=====

[26]
{"formula": "PdRh4", "functional": "GGA-PBE", "state": "optimized geometry", "polymorph_energy_mev_per_atom": 1770, "crystal_system": "cubic", "e_tot_ev_per_cell": -25.5, "lattice_angstrom": [[4.684, 0.000, 0.000], [0.000, 4.684, 0.000], [0.000, 0.000, 4.684]], "species": ["Rh", "Rh", "Rh", "Rh", "Pd"], "frac_coords": [[0.500, 0.000, 0.500], [0.000, 0.000, 0.000], [0.000, 0.500, 0.500], [0.500, 0.500, 0.000], [0.500, 0.500, 0.500]]}

=====

[27]
{"formula": "PdRh", "functional": "GGA-PBE", "state": "optimized geometry", "crystal_system": "orthorhombic", "e_tot_ev_per_cell": -98.1, "lattice_angstrom": [[9.531, 0.000, 0.000], [0.000, 4.525, 0.000], [0.000, 0.000, 5.513]], "species": ["Rh", "Rh", "Rh", "Rh", "Rh", "Rh", "Rh", "Rh", "Pd", "Pd", "Pd", "Pd", "Pd", "Pd", "Pd", "Pd"], "frac_coords": [[0.915, 0.750, 0.260], [0.664, 0.750, 0.004], [0.836, 0.250, 0.504], [0.336, 0.250, 0.996], [0.415, 0.750, 0.240], [0.164, 0.750, 0.496], [0.585, 0.250, 0.760], [0.085, 0.250, 0.740], [0.083, 0.250, 0.243], [0.168, 0.750, 0.998], [0.332, 0.250, 0.498], [0.832, 0.250, 0.002], [0.583, 0.250, 0.257], [0.417, 0.750, 0.743], [0.668, 0.750, 0.502], [0.917, 0.750, 0.757]]}